Computed, not measured: crystalline NiH2O at its relaxed geometry at the PBE with a Hubbard U level of DFT.

Unit cell a=4.6104 b=4.6104 c=4.6104 alpha=90.00 beta=90.00 gamma=90.00
Closest atoms and distances in Å follow each position.
Space group Fm-3m (No. 225)
Asymmetric unit:
Ni  0.0000  0.0000  0.0000 x4  8 H 2.00
H  0.2500  0.2500  0.2500 x8  4 O 2.00, 4 Ni 2.00
O  0.0000  0.0000  0.5000 x4  8 H 2.00

DOS(E_F)	5.09	states/eV/cell
M_tot	1.28	μB/f.u.
distance to the lowest polymorph of the same formula	1.866	eV/f.u.
calculated total energy	-0.19942	Ry per atom